First-principles (PBE) data for crystalline P2IrBrO at its relaxed geometry, as listed in the Alexandria database.

Cell: 4.8529 4.8529 3.7740 Å, 90.00 90.00 90.00°
Closest atoms and distances in Å follow each position.
Fractional coordinates of all 5 atoms:
P (0.0000, 0.5000, 0.0000)  2 Ir 2.43
P (0.5000, 0.0000, 0.0000)  2 Ir 2.43
O (0.0000, 0.0000, 0.5000)  2 Ir 1.89
Ir (0.0000, 0.0000, 0.0000)  2 O 1.89
Br (0.5000, 0.5000, 0.5000)  8 P 3.07, 4 O 3.43

Output
Formation energy without anion corrections: 334 meV per atom
Distance to the lowest polymorph of the same formula: 0 meV per atom
Energy: -4.9280 eV per atom
DOS at the Fermi energy: 3.0 states/eV/f.u.